The following is a GGA-PBE calculation of a relaxed ZrSc2TaH crystal, from Alexandria.

Lattice parameters (Å, degrees): 4.4081 4.4081 4.5109 90.00 90.00 90.00
Atoms (fractional coordinates):
Sc  0.0000  0.5000  0.0000
Sc  0.5000  0.0000  0.0000
H  0.0000  0.0000  0.0000
Zr  0.0000  0.0000  0.5000
Ta  0.5000  0.5000  0.5000

## Properties
Energy relative to the lowest polymorph listed for this composition, eV per formula unit: 0.000
Raw total energy, Ry/atom: -0.53717
Crystal system: tetragonal

***

The following is a GGA-PBE calculation of a relaxed Tb2ScH8 crystal, from Alexandria.

Lattice parameters (Å, degrees): 3.6233 4.9239 6.2073 113.37 106.97 90.00
Atoms (fractional coordinates):
Tb  0.1686  0.6686  0.3372
Tb  0.8314  0.3314  0.6628
Sc  0.5000  0.0000  0.0000
H  0.6499  0.8977  0.2997
H  0.3501  0.5980  0.7003
H  0.1773  0.1772  0.3545
H  0.0000  0.2437  0.0000
H  0.8227  0.8228  0.6455
H  0.6499  0.4020  0.2997
H  0.3501  0.1023  0.7003
H  0.0000  0.7563  0.0000

## Properties
Raw total energy, Ry/atom: -0.32640
Crystal system: orthorhombic

***

The following is a GGA-PBE calculation of a relaxed TbSc2H crystal, from Alexandria.

Lattice parameters (Å, degrees): 3.3731 3.3731 8.3010 78.28 78.28 60.00
Atoms (fractional coordinates):
Sc  0.2822  0.2822  0.1533
Sc  0.7178  0.7178  0.8467
H  0.0000  0.0000  0.0000
Tb  0.5000  0.5000  0.5000

## Properties
Energy relative to the lowest polymorph listed for this composition, eV per formula unit: 0.000
Raw total energy, Ry/atom: -0.39314
Crystal system: trigonal

***

The following is a GGA-PBE calculation of a relaxed TbSc3H8 crystal, from Alexandria.

Lattice parameters (Å, degrees): 4.8712 4.8712 4.8712 90.00 90.00 90.00
Atoms (fractional coordinates):
Tb  0.0000  0.0000  0.0000
Sc  0.5000  0.5000  0.0000
Sc  0.5000  0.0000  0.5000
Sc  0.0000  0.5000  0.5000
H  0.2612  0.2612  0.7388
H  0.2612  0.7388  0.2612
H  0.7388  0.2612  0.2612
H  0.7388  0.7388  0.7388
H  0.7388  0.7388  0.2612
H  0.7388  0.2612  0.7388
H  0.2612  0.7388  0.7388
H  0.2612  0.2612  0.2612

## Properties
Raw total energy, Ry/atom: -0.35930
Crystal system: cubic

***

Total magnetization
In order: 0.00; 0.00; 0.00; 0.00
Unit: μB per formula unit